The following is a DFT calculation (GGA-PBE) of crystalline Cs2SnHg5 at its relaxed geometry.

a = 7.3676 Å, b = 7.3678 Å, c = 7.8195 Å
α = 118.16°, β = 118.10°, γ = 90.00°
Last column: nearest neighbours and their distance in Å.
Atoms (fractional coordinates):
Sn 0.9977 0.9983 0.9955  5 Hg 3.03-3.19
Hg 0.7242 0.7241 0.4485  1 Sn 3.19, 4 Hg 3.33-3.34
Hg 0.2983 0.2983 0.0156  1 Sn 3.03, 3 Hg 3.09-3.33
Hg 0.7183 0.7182 0.0166  1 Sn 3.03, 3 Hg 3.09-3.34
Hg 0.2983 0.7182 0.0166  1 Sn 3.03, 3 Hg 3.09-3.34
Hg 0.7174 0.2983 0.0156  1 Sn 3.03, 3 Hg 3.09-3.33
Cs 0.7614 0.2613 0.5228  10 Hg 3.71-3.96
Cs 0.2614 0.7603 0.5228  10 Hg 3.71-3.96

The formation energy comes out at -0.162 eV/atom. The space group is No. 8. Its density is 7.3 Mg/m³. For the total moment, the calculation gives 0.000 μB per cell. The value obtained for the total energy is -1.06 eV per atom.